1.
Na2As2Ir PBE-GGA optimized geometry; mass density = 6.6 g cm⁻³; size of the total moment = 0.00 μB per cell; crystal system = tetragonal; total energy = -4.59 eV/atom; space group = No. 127
1.0
6.308 0.000 0.000
0.000 6.308 0.000
0.000 0.000 4.918
Na As Ir
4 4 2
Cartesian
1.144 4.298 2.459
5.164 2.010 2.459
2.010 1.144 2.459
4.298 5.164 2.459
5.436 4.026 0.000
0.872 2.282 0.000
4.026 0.872 0.000
2.282 5.436 0.000
0.000 0.000 0.000
3.154 3.154 0.000

=====

2.
ErTaN2O PBE-GGA optimized geometry; mass density = 10.7 g cm⁻³; size of the total moment = 0.00 μB per cell; crystal system = monoclinic; total energy = -9.58 eV/atom; space group = No. 14
1.0
-2.487 -7.393 0.967
7.205 -2.120 2.320
0.464 8.739 6.546
N O Ta Er
16 8 8 8
Cartesian
3.368 -1.873 7.793
6.433 2.781 7.789
1.822 -0.021 6.231
0.614 -1.720 3.194
3.143 -6.245 4.522
-0.064 -1.473 0.304
1.815 1.100 2.040
2.197 -2.841 5.349
2.040 5.472 5.311
2.985 2.068 4.484
3.361 -0.753 3.602
-1.250 -3.555 2.044
4.782 -8.040 2.983
0.839 2.652 6.464
4.568 0.947 6.639
4.344 -3.425 3.369
3.553 3.643 6.949
1.630 -4.417 2.884
-1.018 0.801 5.230
1.972 -7.148 2.067
0.137 2.841 3.577
6.201 -1.574 4.603
3.211 6.375 7.766
5.046 -3.614 6.255
3.716 1.085 2.902
2.700 1.755 6.414
-2.295 -5.189 2.521
2.483 -2.528 3.419
1.467 -1.858 6.931
-1.068 -1.575 2.002
6.251 0.801 7.831
7.478 4.416 7.312
3.975 -5.456 2.453
1.207 4.682 7.380
4.311 -1.116 5.759
-0.034 0.970 7.864
0.872 0.343 4.074
5.217 -1.743 1.969
5.563 2.593 5.279
-0.381 -3.366 4.554

=====

3.
Cs2Ba2Zn3 PBE-GGA optimized geometry; mass density = 3.9 g cm⁻³; crystal system = trigonal; total energy = -1.19 eV/atom; space group = No. 160
1.0
-8.576 4.306 4.306
-4.306 4.306 8.576
-4.306 8.576 4.306
Ba Cs Zn
2 2 3
Cartesian
-17.078 17.078 17.078
-8.704 8.704 8.704
-4.289 4.289 4.289
-12.896 12.896 12.896
-10.747 10.747 10.747
-15.039 15.039 15.039
-6.447 6.447 6.447

=====

4.
HoTm4Ag5 PBE-GGA optimized geometry; mass density = 10.0 g cm⁻³; size of the total moment = 0.00 μB per cell; crystal system = tetragonal; total energy = -4.01 eV/atom; space group = No. 123
1.0
-1.093 -3.107 1.392
3.309 -0.624 1.204
-4.029 8.307 15.375
Ag Tm Ho
5 4 1
Cartesian
-0.906 2.288 8.986
-0.103 0.632 5.921
-1.710 3.944 12.050
-2.509 5.592 15.101
0.696 -1.016 2.870
-3.218 6.636 12.282
-2.416 4.982 9.220
-0.811 1.671 3.093
-1.613 3.326 6.155
0.000 0.000 0.000

=====

5.
Cd2AgAu PBE-GGA optimized geometry; mass density = 11.4 g cm⁻³; crystal system = orthorhombic; total energy = -2.12 eV/atom; ΔE to the lowest computed polymorph = 0 meV per atom; space group = No. 59
1.0
6.258 0.000 0.000
0.000 4.883 0.000
0.000 0.000 10.073
Ag Au Cd
4 4 8
Cartesian
1.565 3.662 9.149
4.694 1.221 5.961
1.565 3.662 4.112
4.694 1.221 0.925
4.694 3.662 9.111
1.565 1.221 0.962
1.565 1.221 5.999
4.694 3.662 4.074
0.003 1.221 8.530
3.126 1.221 3.493
6.255 3.662 1.543
3.132 3.662 1.543
6.255 3.662 6.580
0.003 1.221 3.493
3.132 3.662 6.580
3.126 1.221 8.530

=====

6.
LiNdNp PBE-GGA optimized geometry; mass density = 7.7 g cm⁻³; size of the total moment = 6.00 μB per cell; crystal system = cubic; total energy = -5.53 eV/atom; ΔE to the lowest computed polymorph = 0 meV per atom; space group = No. 216
1.0
0.000 3.469 3.469
3.469 0.000 3.469
3.469 3.469 0.000
Nd Li Np
1 1 1
Cartesian
1.734 1.734 1.734
0.000 0.000 0.000
5.203 5.203 5.203

=====

Look up the total energy of the fourth one. -4.01 eV/atom

=====

mass density of number 5 (Cd2AgAu)? 11.4 g cm⁻³

=====

Which value of total energy does entry 2 give? -9.58 eV/atom

=====

mass density of number 6 (LiNdNp)? 7.7 g cm⁻³